Entry 1:
Here is a geometry-optimized Tb2HoPa structure from Alexandria. Energies are from PBE.

Cell: 3.3334 3.3334 36.6504 Å, 90.00 90.00 120.00°
Space group R-3m (No. 166, hexagonal axes)
Symmetry-distinct sites (fractional):
Tb1 0.0000 0.0000 0.0875 (multiplicity 6)
Ho1 0.0000 0.0000 0.5000 (multiplicity 3)
Pa1 0.0000 0.0000 0.0000 (multiplicity 3)

Properties
ΔE_f, eV per atom: 0.280
Energy above the lowest structure with this stoichiometry, meV per atom: 146

Entry 2:
Here is a geometry-optimized Cr2SiAg structure from Alexandria. Energies are from PBE.

Cell: 3.905 3.905 7.410 Å, 90.00 90.00 90.00°
Space group I-4m2 (No. 119)
Symmetry-distinct sites (fractional):
Cr1 0.000 0.000 0.000 (multiplicity 2)
Cr2 0.000 0.500 0.250 (multiplicity 2)
Si1 0.000 0.500 0.750 (multiplicity 2)
Ag1 0.000 0.000 0.500 (multiplicity 2)

Properties
Formation energy from raw total energies, eV per atom: 0.260

How do the records compare in magnetic moment? In the order shown, they have 0.00, 0.23 μB per atom.